TcAs2Pt | PBE | optimized geometry Values from VASP.

Summary:
Distance to the lowest polymorph of the same formula   69.4 meV per atom
Calculated formation energy   -0.035 eV/atom
Total energy   -25.8 eV per cell

```
&SYSTEM
  ibrav = 0, nat = 4, ntyp = 3
/
ATOMIC_SPECIES
Tc 98.00 Tc.upf
As 74.92 As.upf
Pt 195.08 Pt.upf
CELL_PARAMETERS angstrom
2.9922 0.0000 0.0000
0.0000 2.9922 0.0000
0.0000 0.0000 7.8852
ATOMIC_POSITIONS crystal
Tc 0.0000 0.0000 0.0000
As 0.0000 0.0000 0.5565
As 0.5000 0.5000 0.1873
Pt 0.5000 0.5000 0.7554
```


Ni2OsRh | PBE | optimized geometry Values from VASP.

Summary:
Calculated formation energy   0.231 eV/atom
Total energy   -29.2 eV per cell

```
&SYSTEM
  ibrav = 0, nat = 4, ntyp = 3
/
ATOMIC_SPECIES
Ni 58.69 Ni.upf
Os 190.23 Os.upf
Rh 102.91 Rh.upf
CELL_PARAMETERS angstrom
4.2521 0.0000 0.0000
0.0000 4.2521 0.0000
0.0000 0.0000 2.7881
ATOMIC_POSITIONS crystal
Ni 0.0000 0.5000 0.0000
Ni 0.5000 0.0000 0.0000
Os 0.0000 0.0000 0.5000
Rh 0.5000 0.5000 0.5000
```


CaZr2GaBr | PBE | optimized geometry Values from VASP.

Summary:
Total energy   -21.5 eV per cell
Formation energy (no corrections)   469 meV/atom

```
&SYSTEM
  ibrav = 0, nat = 5, ntyp = 4
/
ATOMIC_SPECIES
Ca 40.08 Ca.upf
Zr 91.22 Zr.upf
Ga 69.72 Ga.upf
Br 79.90 Br.upf
CELL_PARAMETERS angstrom
5.0849 0.0000 0.0000
0.0000 5.0849 0.0000
0.0000 0.0000 6.1161
ATOMIC_POSITIONS crystal
Ca 0.0000 0.0000 0.0000
Zr 0.0000 0.5000 0.5000
Zr 0.5000 0.0000 0.5000
Ga 0.5000 0.5000 0.5000
Br 0.5000 0.5000 0.0000
```


DyHo2Ag | PBE | optimized geometry Values from VASP.

Summary:
Distance to the lowest polymorph of the same formula   121.0 meV per atom
Calculated formation energy   -0.012 eV/atom
Total energy   -16.7 eV per cell

```
&SYSTEM
  ibrav = 0, nat = 4, ntyp = 3
/
ATOMIC_SPECIES
Dy 162.50 Dy.upf
Ho 164.93 Ho.upf
Ag 107.87 Ag.upf
CELL_PARAMETERS angstrom
1.7852 1.0307 10.3048
-1.7852 1.0307 10.3048
0.0000 -2.0614 10.3048
ATOMIC_POSITIONS crystal
Dy 0.0000 0.0000 0.0000
Ho 0.2414 0.2414 0.2414
Ho 0.4253 0.4253 0.4253
Ag 0.8333 0.8333 0.8333
```


BaLa2Si | PBE | optimized geometry Values from VASP.

Summary:
Total energy   -17.7 eV per cell
Formation energy (no corrections)   -125 meV/atom

```
&SYSTEM
  ibrav = 0, nat = 4, ntyp = 3
/
ATOMIC_SPECIES
Ba 137.33 Ba.upf
La 138.91 La.upf
Si 28.09 Si.upf
CELL_PARAMETERS angstrom
-2.0777 2.5822 6.4221
2.0777 -2.5822 6.4221
2.0777 2.5822 -6.4221
ATOMIC_POSITIONS crystal
Ba 0.0000 0.0000 0.0000
La 0.3053 0.8053 0.5000
La 0.6183 0.6183 0.0000
Si 0.7892 0.2892 0.5000
```


Pm7Nd3Tm | PBE | optimized geometry Values from VASP.

Summary:
Distance to the lowest polymorph of the same formula   57.8 meV per atom
Calculated formation energy   0.238 eV/atom
Total energy   -49.4 eV per cell

```
&SYSTEM
  ibrav = 0, nat = 11, ntyp = 3
/
ATOMIC_SPECIES
Pm 145.00 Pm.upf
Nd 144.24 Nd.upf
Tm 168.93 Tm.upf
CELL_PARAMETERS angstrom
-2.9824 5.6864 5.7069
2.9824 -5.6864 5.7069
2.9824 5.6864 -5.7069
ATOMIC_POSITIONS crystal
Pm 0.0000 0.0000 0.0000
Pm 0.0975 0.3033 0.7942
Pm 0.2903 0.7903 0.5000
Pm 0.4908 0.6967 0.7942
Pm 0.5092 0.3033 0.2058
Pm 0.7097 0.2097 0.5000
Pm 0.9025 0.6967 0.2058
Nd 0.2901 0.0000 0.2901
Nd 0.5000 0.5000 0.0000
Nd 0.7099 0.0000 0.7099
Tm 0.0000 0.5000 0.5000
```


Li2CuNiGe2 | PBE | optimized geometry Values from VASP.

Summary:
Calculated formation energy   -0.243 eV/atom
Total energy   -48.8 eV per cell

```
&SYSTEM
  ibrav = 0, nat = 12, ntyp = 4
/
ATOMIC_SPECIES
Li 6.94 Li.upf
Cu 63.55 Cu.upf
Ni 58.69 Ni.upf
Ge 72.64 Ge.upf
CELL_PARAMETERS angstrom
-2.8480 5.9173 2.8068
2.8480 -5.9173 2.8068
2.8480 5.9173 -2.8068
ATOMIC_POSITIONS crystal
Li 0.1569 0.2465 0.4034
Li 0.3431 0.7465 0.0896
Li 0.6569 0.2535 0.9104
Li 0.8431 0.7535 0.5966
Cu 0.2500 0.2500 0.0000
Cu 0.7500 0.7500 0.0000
Ni 0.2500 0.7500 0.5000
Ni 0.7500 0.2500 0.5000
Ge 0.1136 0.7351 0.8486
Ge 0.3864 0.2351 0.6215
Ge 0.6136 0.7649 0.3785
Ge 0.8864 0.2649 0.1514
```


Er2PuIn | PBE | optimized geometry Values from VASP.

Summary:
Distance to the lowest polymorph of the same formula   102.1 meV per atom
Calculated formation energy   -0.044 eV/atom
Total energy   -26.4 eV per cell

```
&SYSTEM
  ibrav = 0, nat = 4, ntyp = 3
/
ATOMIC_SPECIES
Er 167.26 Er.upf
Pu 244.00 Pu.upf
In 114.82 In.upf
CELL_PARAMETERS angstrom
0.0000 3.7930 3.7930
3.7930 0.0000 3.7930
3.7930 3.7930 0.0000
ATOMIC_POSITIONS crystal
Er 0.2500 0.2500 0.2500
Er 0.7500 0.7500 0.7500
Pu 0.0000 0.0000 0.0000
In 0.5000 0.5000 0.5000
```


Sm7YSc4 | PBE | optimized geometry Values from VASP.

Summary:
Distance to the lowest polymorph of the same formula   0.0 meV per atom
Calculated formation energy   0.032 eV/atom
Total energy   -64.4 eV per cell

```
&SYSTEM
  ibrav = 0, nat = 12, ntyp = 3
/
ATOMIC_SPECIES
Sm 150.36 Sm.upf
Y 88.91 Y.upf
Sc 44.96 Sc.upf
CELL_PARAMETERS angstrom
6.1195 0.0000 0.0000
0.0006 7.0661 0.0000
2.0484 0.0031 8.4291
ATOMIC_POSITIONS crystal
Sm 0.0000 0.0000 0.0000
Sm 0.2244 0.4995 0.3367
Sm 0.2870 0.7563 0.6594
Sm 0.4967 0.2425 0.9919
Sm 0.5033 0.7575 0.0081
Sm 0.7130 0.2437 0.3406
Sm 0.7756 0.5005 0.6633
Y 0.0000 0.5000 0.0000
Sc 0.2140 0.0009 0.3404
Sc 0.2726 0.2417 0.6628
Sc 0.7274 0.7583 0.3372
Sc 0.7860 0.9991 0.6596
```


SrBi2Ir | PBE | optimized geometry Values from VASP.

Summary:
Distance to the lowest polymorph of the same formula   0.0 meV per atom
Calculated formation energy   -0.264 eV/atom
Total energy   -19.4 eV per cell

```
&SYSTEM
  ibrav = 0, nat = 4, ntyp = 3
/
ATOMIC_SPECIES
Sr 87.62 Sr.upf
Bi 208.98 Bi.upf
Ir 192.22 Ir.upf
CELL_PARAMETERS angstrom
2.2216 1.2826 6.7198
-2.2216 1.2826 6.7198
0.0000 -2.5652 6.7198
ATOMIC_POSITIONS crystal
Sr 0.0000 0.0000 0.0000
Bi 0.2243 0.2243 0.2243
Bi 0.7757 0.7757 0.7757
Ir 0.5000 0.5000 0.5000
```